VASP calculation (GGA-PBE) on a relaxed structure of Ho5Tl6Cd.

Cell and atoms, written as POSCAR:
```
Ho5Tl6Cd
1.0
-2.456 4.332 7.564
2.456 -4.332 7.564
2.456 4.332 -7.564
Ho Tl Cd
5 6 1
Cartesian
0.000 0.000 0.000
2.456 0.000 2.651
0.000 0.000 5.391
0.000 0.000 9.738
0.000 4.332 4.913
2.456 -2.214 4.982
2.456 2.050 0.000
0.000 2.118 2.583
2.456 2.214 4.982
0.000 2.282 7.564
0.000 6.546 2.583
0.000 4.332 0.000
```

Summary:
Crystal system: orthorhombic
Energy in eV per atom: -3.44
SG: Immm, No. 71
Total magnetization in μB per formula unit: 0.000
ΔH_f (0 K) in eV/atom: -0.28

---

VASP calculation (GGA-PBE) on a relaxed structure of Ho3Tl2Cd3.

Cell and atoms, written as POSCAR:
```
Ho3Tl2Cd3
1.0
7.557 0.000 0.000
-3.779 6.545 0.000
0.000 0.000 4.279
Ho Tl Cd
3 2 3
Cartesian
-2.272 3.935 0.000
1.507 2.610 0.000
4.544 0.000 0.000
0.000 4.363 2.140
3.779 2.182 2.140
-0.857 1.484 2.140
1.713 0.000 2.140
2.922 5.061 2.140
```

Summary:
Crystal system: hexagonal
Energy in eV per atom: -2.88
SG: P-62m, No. 189
Total magnetization in μB per formula unit: 0.000
ΔH_f (0 K) in eV/atom: -0.23

---

VASP calculation (GGA-PBE) on a relaxed structure of Ho2Tl3Cd3.

Cell and atoms, written as POSCAR:
```
Ho2Tl3Cd3
1.0
4.775 0.000 0.000
0.000 4.930 0.000
0.000 0.000 8.569
Ho Tl Cd
2 3 3
Cartesian
0.000 0.000 2.141
0.000 0.000 6.428
0.000 2.465 0.000
2.387 0.000 0.000
2.387 0.000 4.284
0.000 2.465 4.284
2.387 2.465 2.218
2.387 2.465 6.351
```

Summary:
Crystal system: orthorhombic
Energy in eV per atom: -2.61
SG: Pmmm, No. 47
Total magnetization in μB per formula unit: 0.000
ΔH_f (0 K) in eV/atom: -0.23

---

VASP calculation (GGA-PBE) on a relaxed structure of Ho6TlCd.

Cell and atoms, written as POSCAR:
```
Ho6TlCd
1.0
-2.520 2.520 9.135
2.520 -2.520 9.135
2.520 2.520 -9.135
Ho Tl Cd
6 1 1
Cartesian
2.520 0.000 2.107
0.000 0.000 4.548
2.520 0.000 7.028
0.000 2.520 2.107
0.000 0.000 13.723
0.000 2.520 7.028
0.000 0.000 9.135
0.000 0.000 0.000
```

Summary:
Crystal system: tetragonal
Energy in eV per atom: -4.00
SG: I4/mmm, No. 139
Total magnetization in μB per formula unit: 0.000
ΔH_f (0 K) in eV/atom: -0.16

---

VASP calculation (GGA-PBE) on a relaxed structure of HoTlCd17.

Cell and atoms, written as POSCAR:
```
HoTlCd17
1.0
5.077 2.931 5.053
-5.077 2.931 5.053
0.000 -5.862 5.053
Ho Tl Cd
1 1 17
Cartesian
0.000 0.000 0.000
0.000 0.000 4.935
0.000 -3.151 2.979
-2.728 1.575 2.979
-2.316 -1.337 7.592
0.000 -3.468 7.402
-3.004 1.734 7.402
-1.550 -2.652 10.203
-3.072 -0.016 10.203
2.728 1.575 2.979
0.000 0.000 8.836
2.316 -1.337 7.592
0.000 2.674 7.592
1.550 -2.652 10.203
-1.522 2.669 10.203
0.000 0.000 11.794
3.004 1.734 7.402
3.072 -0.016 10.203
1.522 2.669 10.203
```

Summary:
Crystal system: trigonal
Energy in eV per atom: -1.22
SG: R3m, No. 160
Total magnetization in μB per formula unit: 0.000
ΔH_f (0 K) in eV/atom: -0.03

---

VASP calculation (GGA-PBE) on a relaxed structure of Ho6TlCd6.

Cell and atoms, written as POSCAR:
```
Ho6TlCd6
1.0
6.086 0.000 0.000
-3.043 5.271 0.000
0.000 0.000 10.941
Ho Tl Cd
6 1 6
Cartesian
0.000 0.000 1.718
0.000 0.000 9.223
0.000 3.514 0.000
0.000 3.514 5.470
3.043 1.757 0.000
3.043 1.757 5.470
0.000 0.000 5.470
-1.521 2.635 2.768
-1.521 2.635 8.173
3.043 0.000 2.768
3.043 0.000 8.173
1.521 2.635 2.768
1.521 2.635 8.173
```

Summary:
Crystal system: hexagonal
Energy in eV per atom: -2.86
SG: P6/mmm, No. 191
Total magnetization in μB per formula unit: 0.542
ΔH_f (0 K) in eV/atom: -0.14

---

VASP calculation (GGA-PBE) on a relaxed structure of HoTlCd2.

Cell and atoms, written as POSCAR:
```
HoTlCd2
1.0
0.000 3.686 3.686
3.686 0.000 3.686
3.686 3.686 0.000
Ho Tl Cd
1 1 2
Cartesian
0.000 0.000 0.000
3.686 3.686 3.686
1.843 1.843 1.843
5.529 5.529 5.529
```

Summary:
Crystal system: cubic
Energy in eV per atom: -2.31
SG: Fm-3m, No. 225
Total magnetization in μB per formula unit: 0.000
ΔH_f (0 K) in eV/atom: -0.11

---

VASP calculation (GGA-PBE) on a relaxed structure of HoTlCd2.

Cell and atoms, written as POSCAR:
```
HoTlCd2
1.0
4.503 0.000 0.000
0.000 4.503 0.000
0.000 0.000 4.874
Ho Tl Cd
1 1 2
Cartesian
0.000 0.000 0.000
2.251 2.251 0.000
0.000 2.251 2.437
2.251 0.000 2.437
```

Summary:
Crystal system: tetragonal
Energy in eV per atom: -2.43
SG: P4/mmm, No. 123
Total magnetization in μB per formula unit: 0.000
ΔH_f (0 K) in eV/atom: -0.24

---

VASP calculation (GGA-PBE) on a relaxed structure of Ho4Tl3Cd2.

Cell and atoms, written as POSCAR:
```
Ho4Tl3Cd2
1.0
4.495 -2.594 0.000
4.495 2.594 0.000
-0.012 0.000 10.401
Ho Tl Cd
4 3 2
Cartesian
8.985 0.000 1.796
-0.007 0.000 8.605
2.992 0.000 6.348
5.986 0.000 4.053
-0.006 0.000 5.201
2.987 0.000 9.758
5.991 0.000 0.644
2.990 0.000 3.054
5.987 0.000 7.347
```

Summary:
Crystal system: monoclinic
Energy in eV per atom: -3.26
SG: C2/m, No. 12
Total magnetization in μB per formula unit: 0.000
ΔH_f (0 K) in eV/atom: -0.23

---

VASP calculation (GGA-PBE) on a relaxed structure of Ho5TlCd4.

Cell and atoms, written as POSCAR:
```
Ho5TlCd4
1.0
3.737 0.000 0.000
0.000 3.737 0.000
0.000 0.000 18.699
Ho Tl Cd
5 1 4
Cartesian
0.000 0.000 0.000
0.000 0.000 3.712
0.000 0.000 7.409
0.000 0.000 11.290
0.000 0.000 14.987
1.869 1.869 9.349
1.869 1.869 1.865
1.869 1.869 5.532
1.869 1.869 13.167
1.869 1.869 16.834
```

Summary:
Crystal system: tetragonal
Energy in eV per atom: -3.21
SG: P4/mmm, No. 123
Total magnetization in μB per formula unit: 0.001
ΔH_f (0 K) in eV/atom: -0.32

---

VASP calculation (GGA-PBE) on a relaxed structure of Ho7Tl2Cd2.

Cell and atoms, written as POSCAR:
```
Ho7Tl2Cd2
1.0
3.873 -5.580 0.000
3.873 5.580 0.000
0.000 0.000 7.860
Ho Tl Cd
7 2 2
Cartesian
0.000 0.000 0.000
1.937 2.790 2.284
1.937 2.790 5.576
1.937 -2.790 2.284
1.937 -2.790 5.576
3.873 0.000 2.134
3.873 0.000 5.726
3.873 2.262 0.000
3.873 -2.262 0.000
1.365 0.000 3.930
6.382 0.000 3.930
```

Summary:
Crystal system: orthorhombic
Energy in eV per atom: -3.48
SG: Cmmm, No. 65
Total magnetization in μB per formula unit: 0.000
ΔH_f (0 K) in eV/atom: 0.03

---

VASP calculation (GGA-PBE) on a relaxed structure of HoTlCd2.

Cell and atoms, written as POSCAR:
```
HoTlCd2
1.0
3.881 0.000 0.000
0.000 3.881 0.000
0.000 0.000 6.884
Ho Tl Cd
1 1 2
Cartesian
0.000 0.000 0.000
0.000 0.000 3.442
1.940 1.940 1.684
1.940 1.940 5.200
```

Summary:
Crystal system: tetragonal
Energy in eV per atom: -2.33
SG: P4/mmm, No. 123
Total magnetization in μB per formula unit: 0.002
ΔH_f (0 K) in eV/atom: -0.14